1.
YIrNF2 | PBE | relaxed

M_tot: 2.34 μB per formula unit
excess energy over the best structure of this formula in the dataset: 161 meV/atom
uncorrected formation energy: -0.677 eV per atom

Cell and atoms, written as POSCAR:
```
YIrNF2
1.0
4.1889 0.0000 0.0000
0.0000 4.1889 0.0000
0.0000 0.0000 4.8723
Ir F N Y
1 2 1 1
Direct
0.5000 0.5000 0.5000
0.0000 0.5000 0.0000
0.5000 0.0000 0.0000
0.0000 0.0000 0.5000
0.0000 0.0000 0.0000
```

2.
Ti5CoOs4 | PBE | relaxed

M_tot: 0.06 μB per formula unit
energy of formation: -0.641 eV/atom

Cell and atoms, written as POSCAR:
```
Ti5CoOs4
1.0
3.0829 0.0000 0.0000
0.0000 3.0829 0.0000
0.0000 0.0000 15.2322
Ti Os Co
5 4 1
Direct
0.5000 0.5000 0.7031
0.5000 0.5000 0.2969
0.5000 0.5000 0.0945
0.5000 0.5000 0.9055
0.5000 0.5000 0.5000
0.0000 0.0000 0.3981
0.0000 0.0000 0.1941
0.0000 0.0000 0.8059
0.0000 0.0000 0.6019
0.0000 0.0000 0.0000
```

3.
Dy3Mg4Cd2 | PBE | relaxed

M_tot: 0.00 μB per formula unit
excess energy over the best structure of this formula in the dataset: 63 meV/atom
energy of formation: -0.109 eV/atom

Cell and atoms, written as POSCAR:
```
Dy3Mg4Cd2
1.0
5.2512 0.0000 0.0000
-2.6256 4.6463 0.2029
0.0000 -1.5194 9.2672
Mg Cd Dy
4 2 3
Direct
0.0469 0.0937 0.3523
0.3207 0.6414 0.9025
0.6793 0.3586 0.0975
0.9531 0.9063 0.6477
0.2868 0.5736 0.5940
0.7132 0.4264 0.4060
0.3650 0.7300 0.2491
0.0000 0.0000 0.0000
0.6350 0.2700 0.7509
```

4.
Ni2TeW | PBE | relaxed

M_tot: 0.29 μB per formula unit
uncorrected formation energy: 0.341 eV per atom

Cell and atoms, written as POSCAR:
```
Ni2TeW
1.0
3.3628 0.0000 0.0000
0.0000 3.3573 0.0000
0.0000 0.0000 5.3930
W Ni Te
1 2 1
Direct
0.5000 0.5000 0.7500
0.0000 0.0000 0.5238
0.0000 0.0000 0.9762
0.5000 0.5000 0.2500
```

5.
OsPdSe4 | PBE | relaxed

M_tot: 0.00 μB per formula unit
excess energy over the best structure of this formula in the dataset: 98 meV/atom
uncorrected formation energy: -0.026 eV per atom

Cell and atoms, written as POSCAR:
```
OsPdSe4
1.0
5.4488 0.3840 0.0000
-0.5005 6.2076 0.0000
-2.4741 -3.2958 7.2580
Se Os Pd
8 2 2
Direct
0.9975 0.2487 0.1029
0.6852 0.5155 0.4092
0.7760 0.1063 0.5908
0.6054 0.8542 0.1029
0.3148 0.4845 0.5908
0.2240 0.8937 0.4092
0.0025 0.7513 0.8971
0.3946 0.1458 0.8971
0.0702 0.8202 0.6404
0.9298 0.1798 0.3596
0.3217 0.5717 0.1434
0.6783 0.4283 0.8566
```

6.
DyAlGa2Cu5 | PBE | relaxed

M_tot: 0.00 μB per formula unit
energy of formation: 0.033 eV/atom

Cell and atoms, written as POSCAR:
```
DyAlGa2Cu5
1.0
4.5547 0.0000 0.0000
0.0000 4.5547 0.0000
0.0000 0.0000 7.1419
Al Cu Ga Dy
1 5 2 1
Direct
0.0000 0.0000 0.0000
0.5000 0.5000 0.5000
0.5000 0.0000 0.2672
0.0000 0.5000 0.2672
0.0000 0.5000 0.7328
0.5000 0.0000 0.7328
0.5000 0.5000 0.8345
0.5000 0.5000 0.1655
0.0000 0.0000 0.5000
```

7.
LiPrDyTl | PBE | relaxed

M_tot: 0.00 μB per formula unit
energy of formation: -0.193 eV/atom

Cell and atoms, written as POSCAR:
```
LiPrDyTl
1.0
5.3941 0.0000 0.0000
2.6971 4.6715 0.0000
2.6971 1.5572 4.4043
Dy Tl Pr Li
1 1 1 1
Direct
0.7500 0.7500 0.7500
0.5000 0.5000 0.5000
0.2500 0.2500 0.2500
0.0000 0.0000 0.0000
```

8.
NaGe2BO6 | PBE | relaxed

M_tot: 0.00 μB per formula unit
uncorrected formation energy: -1.881 eV per atom

Cell and atoms, written as POSCAR:
```
NaGe2BO6
1.0
-4.8693 -1.5354 2.4209
0.7685 -6.2498 3.4194
-0.8859 3.4280 6.2296
O Ge Na B
12 4 2 2
Direct
0.2639 0.6141 0.6730
0.7120 0.7879 0.9964
0.2361 0.3270 0.3859
0.2880 0.2121 0.0036
0.0092 0.6469 0.1779
0.7639 0.6730 0.6141
0.7880 0.0036 0.2121
0.9908 0.3531 0.8221
0.5092 0.1779 0.6469
0.4908 0.8221 0.3531
0.7361 0.3859 0.3270
0.2120 0.9964 0.7879
0.5627 0.2196 0.3964
0.0627 0.3964 0.2196
0.9373 0.6036 0.7804
0.4373 0.7804 0.6036
0.7500 0.1256 0.8744
0.2500 0.8744 0.1256
0.2500 0.1911 0.8089
0.7500 0.8089 0.1911
```

9.
La2PmCo9 | PBE | relaxed

M_tot: 9.80 μB per formula unit
energy of formation: -0.053 eV/atom

Cell and atoms, written as POSCAR:
```
La2PmCo9
1.0
-3.6440 1.6822 -3.0304
-4.5600 1.0042 1.8679
-0.3664 8.7924 1.1484
Co La Pm
9 2 1
Direct
0.4243 0.9171 0.2343
0.5757 0.5757 0.7657
0.3324 0.3324 0.0029
0.4243 0.4243 0.2343
0.5000 0.5000 0.5000
0.0829 0.5757 0.7657
0.9171 0.4243 0.2343
0.5757 0.0829 0.7657
0.6676 0.6676 0.9971
0.8600 0.8600 0.4201
0.1400 0.1400 0.5799
0.0000 0.0000 0.0000
```

10.
BeAl2Ga | PBE | relaxed

M_tot: 0.00 μB per formula unit
energy of formation: 0.194 eV/atom

Cell and atoms, written as POSCAR:
```
BeAl2Ga
1.0
3.7823 0.0000 0.0000
0.0000 3.9373 0.0000
0.0000 0.0000 3.9373
Ga Al Be
1 2 1
Direct
0.5000 0.5000 0.5000
0.0000 0.5000 0.0000
0.0000 0.0000 0.5000
0.5000 0.0000 0.0000
```

11.
ZnRe4Au | PBE | relaxed

M_tot: 0.00 μB per formula unit
energy of formation: 0.676 eV/atom

Cell and atoms, written as POSCAR:
```
ZnRe4Au
1.0
0.6075 -4.2749 2.9225
-1.3003 0.0869 5.0484
-4.1793 -2.6377 1.6614
Re Au Zn
4 1 1
Direct
0.8761 0.3746 0.3746
0.3746 0.3746 0.3746
0.3746 0.8761 0.3746
0.3746 0.3746 0.8761
0.0000 0.0000 0.0000
0.7500 0.7500 0.7500
```

12.
Ni4IrOs | PBE | relaxed

M_tot: 2.67 μB per formula unit
energy of formation: 0.183 eV/atom

Cell and atoms, written as POSCAR:
```
Ni4IrOs
1.0
3.5667 -1.8155 2.3842
1.3612 1.9549 4.0034
-0.7716 -2.1866 4.0404
Ni Os Ir
4 1 1
Direct
0.3751 0.3751 0.8746
0.3751 0.8746 0.3751
0.3751 0.3751 0.3751
0.8746 0.3751 0.3751
0.7500 0.7500 0.7500
0.0000 0.0000 0.0000
```